{"formula": "TlInNi2", "functional": "PBE", "state": "relaxed", "delta_e_f_ev_per_atom": 0.137, "rho_g_cm3": 11.0, "vol_a3_per_cell": 65.81, "sg": "P2/m, No. 10", "final_energy_ev_per_atom": -4.030, "m_tot_mub_per_cell": 0.0, "lattice_angstrom": [[3.207, 0.000, 0.000], [0.000, 3.205, -0.012], [0.000, 0.066, 6.402]], "species": ["Tl", "In", "Ni", "Ni"], "frac_coords": [[0.500, 0.500, 0.250], [0.500, 0.500, 0.750], [0.000, 0.994, 0.982], [0.000, 0.006, 0.518]]}